## MgCr3Ru (PBE-GGA)

Data for a relaxed structure of MgCr3Ru. Values from VASP.

Computed properties:
**Polymorph energy (0 for the lowest one)**: 0.000 eV/atom
**Symmetry**: No. 221
**ΔH_f (0 K)**: 1.104 eV/atom

Quantum ESPRESSO input file:
```
&SYSTEM
  ibrav = 0, nat = 5, ntyp = 3
/
ATOMIC_SPECIES
Cr 52.00 Cr.upf
Ru 101.07 Ru.upf
Mg 24.30 Mg.upf
ATOMIC_POSITIONS crystal
Cr 0.000 0.000 0.500
Cr 0.500 0.000 0.000
Cr 0.000 0.500 0.000
Ru 0.000 0.000 0.000
Mg 0.500 0.500 0.500
CELL_PARAMETERS angstrom
-1.937 -4.170 -0.915
3.908 -2.136 1.464
-1.720 -0.158 4.359
```

## LaHf2Si2 (PBE-GGA)

Data for a relaxed structure of LaHf2Si2. Values from VASP.

Computed properties:
**Formation energy without anion corrections**: -0.3555 eV per atom
**Polymorph energy (0 for the lowest one)**: 0.152 eV/atom
**Symmetry**: No. 127

Quantum ESPRESSO input file:
```
&SYSTEM
  ibrav = 0, nat = 10, ntyp = 3
/
ATOMIC_SPECIES
Si 28.09 Si.upf
Hf 178.49 Hf.upf
La 138.91 La.upf
ATOMIC_POSITIONS crystal
Si 0.168 0.668 0.500
Si 0.832 0.332 0.500
Si 0.668 0.832 0.500
Si 0.332 0.168 0.500
Hf 0.126 0.374 0.000
Hf 0.626 0.126 0.000
Hf 0.874 0.626 0.000
Hf 0.374 0.874 0.000
La 0.500 0.500 0.000
La 0.000 0.000 0.000
CELL_PARAMETERS angstrom
-0.897 -6.125 5.381
-0.435 -5.369 -6.185
3.002 -0.354 0.097
```

## RbTl2In3Cl6 (PBE-GGA)

Data for a relaxed structure of RbTl2In3Cl6. Values from VASP.

Computed properties:
**Formation energy without anion corrections**: -1.0588 eV per atom
**Symmetry**: No. 12

Quantum ESPRESSO input file:
```
&SYSTEM
  ibrav = 0, nat = 12, ntyp = 4
/
ATOMIC_SPECIES
In 114.82 In.upf
Cl 35.45 Cl.upf
Tl 204.38 Tl.upf
Rb 85.47 Rb.upf
ATOMIC_POSITIONS crystal
In 0.167 0.833 0.500
In 0.833 0.167 0.500
In 0.500 0.500 0.500
Cl 0.746 0.746 0.251
Cl 0.085 0.422 0.255
Cl 0.254 0.254 0.749
Cl 0.422 0.085 0.255
Cl 0.578 0.915 0.745
Cl 0.915 0.578 0.745
Tl 0.666 0.334 0.000
Tl 0.334 0.666 0.000
Rb 0.000 0.000 0.000
CELL_PARAMETERS angstrom
-3.666 -5.157 4.848
-0.303 -1.053 -7.896
7.575 -2.078 1.330
```

## LaPuSi2 (PBE-GGA)

Data for a relaxed structure of LaPuSi2. Values from VASP.

Computed properties:
**Formation energy without anion corrections**: -0.3057 eV per atom
**Polymorph energy (0 for the lowest one)**: 0.255 eV/atom
**Symmetry**: No. 166

Quantum ESPRESSO input file:
```
&SYSTEM
  ibrav = 0, nat = 4, ntyp = 3
/
ATOMIC_SPECIES
Si 28.09 Si.upf
Pu 244.00 Pu.upf
La 138.91 La.upf
ATOMIC_POSITIONS crystal
Si 0.754 0.754 0.739
Si 0.246 0.246 0.261
Pu 0.500 0.500 0.500
La 0.000 0.000 0.000
CELL_PARAMETERS angstrom
-1.072 3.762 3.050
-4.615 0.550 1.733
-0.902 -1.068 5.035
```

## Pm5MgNi4 (PBE-GGA)

Data for a relaxed structure of Pm5MgNi4. Values from VASP.

Computed properties:
**Symmetry**: No. 123
**ΔH_f (0 K)**: -0.221 eV/atom

Quantum ESPRESSO input file:
```
&SYSTEM
  ibrav = 0, nat = 10, ntyp = 3
/
ATOMIC_SPECIES
Pm 145.00 Pm.upf
Ni 58.69 Ni.upf
Mg 24.30 Mg.upf
ATOMIC_POSITIONS crystal
Pm 0.500 0.500 0.500
Pm 0.500 0.500 0.130
Pm 0.500 0.500 0.870
Pm 0.500 0.500 0.313
Pm 0.500 0.500 0.687
Ni 0.000 0.000 0.593
Ni 0.000 0.000 0.407
Ni 0.000 0.000 0.217
Ni 0.000 0.000 0.783
Mg 0.000 0.000 0.000
CELL_PARAMETERS angstrom
-2.575 -1.560 1.766
2.051 -2.772 0.541
6.155 7.619 15.701
```

## RbTmGeO4 (PBE-GGA)

Data for a relaxed structure of RbTmGeO4. Values from VASP.

Computed properties:
**Formation energy without anion corrections**: -2.3969 eV per atom
**Symmetry**: No. 11

Quantum ESPRESSO input file:
```
&SYSTEM
  ibrav = 0, nat = 14, ntyp = 4
/
ATOMIC_SPECIES
O 16.00 O.upf
Tm 168.93 Tm.upf
Rb 85.47 Rb.upf
Ge 72.64 Ge.upf
ATOMIC_POSITIONS crystal
O 0.452 0.750 0.208
O 0.958 0.476 0.669
O 0.042 0.524 0.331
O 0.521 0.250 0.432
O 0.479 0.750 0.568
O 0.548 0.250 0.792
O 0.042 0.976 0.331
O 0.958 0.024 0.669
Tm 0.198 0.250 0.536
Tm 0.802 0.750 0.464
Rb 0.310 0.250 0.065
Rb 0.690 0.750 0.935
Ge 0.260 0.750 0.347
Ge 0.740 0.250 0.653
CELL_PARAMETERS angstrom
-4.690 2.996 1.273
-1.837 -0.507 -5.575
-1.470 -7.501 1.167
```

## Na2La2Ga (PBE-GGA)

Data for a relaxed structure of Na2La2Ga. Values from VASP.

Computed properties:
**Polymorph energy (0 for the lowest one)**: 0.166 eV/atom
**Symmetry**: No. 127
**ΔH_f (0 K)**: 0.185 eV/atom

Quantum ESPRESSO input file:
```
&SYSTEM
  ibrav = 0, nat = 10, ntyp = 3
/
ATOMIC_SPECIES
Na 22.99 Na.upf
Ga 69.72 Ga.upf
La 138.91 La.upf
ATOMIC_POSITIONS crystal
Na 0.328 0.172 0.500
Na 0.672 0.828 0.500
Na 0.828 0.328 0.500
Na 0.172 0.672 0.500
Ga 0.500 0.500 0.000
Ga 0.000 0.000 0.000
La 0.135 0.365 0.000
La 0.635 0.135 0.000
La 0.365 0.865 0.000
La 0.865 0.635 0.000
CELL_PARAMETERS angstrom
7.731 0.000 0.000
0.000 7.731 0.000
0.000 0.000 6.173
```

In the order shown, the computed final energy values come out to -6.84; -7.49; -3.14; -7.83; -5.07; -6.67; -2.92 eV per atom.